Model a:
Below is a geometry-optimized MnReF2 structure, with properties calculated at the PBE+U level.

a b c (Å): 7.988 7.988 7.988
angles (deg): 19.97 19.97 19.97
Last column: magnetic moment on the atom in μB.
Fractional positions:
Re  0.000  0.000  0.000  0.00
Mn  0.500  0.500  0.500  4.38
F  0.913  0.913  0.913  0.03
F  0.087  0.087  0.087  0.03

Output
N(E_F): 1.57 states/eV per cell

---

Model b:
Below is a geometry-optimized MnReF2 structure, with properties calculated at the PBE+U level.

a b c (Å): 4.347 4.347 4.347
angles (deg): 60.00 60.00 60.00
Last column: magnetic moment on the atom in μB.
Fractional positions:
Re  0.500  0.500  0.500  -3.61
Mn  0.000  0.000  0.000  4.58
F  0.250  0.250  0.250  -0.09
F  0.750  0.750  0.750  -0.09

Output
N(E_F): 3.01 states/eV per cell

---

Model c:
Below is a geometry-optimized MnReF2 structure, with properties calculated at the PBE+U level.

a b c (Å): 5.957 5.957 6.570
angles (deg): 63.04 63.04 90.00
Last column: magnetic moment on the atom in μB.
Fractional positions:
Re  0.000  0.000  0.000  4.03
Re  0.750  0.250  0.500  4.03
Mn  0.500  0.500  0.000  4.67
Mn  0.250  0.750  0.500  4.67
F  0.462  0.125  0.250  0.08
F  0.288  0.625  0.250  0.08
F  0.375  0.538  0.750  0.08
F  0.875  0.712  0.750  0.08

Output
N(E_F): 8.50 states/eV per cell

---

Among the structures shown above, model a is the most stable, with the second-best lying 0.784 eV/atom higher.